# 1
Crystalline Tb2CeY5 at its relaxed geometry. Source: Alexandria, functional GGA-PBE.

Magnetic moment   1.045 μB per formula unit
Electronic total energy   -5.895 eV per atom

Unit cell a=7.1406 b=14.2891 c=5.0367 alpha=90.00 beta=90.00 gamma=90.00
Space group Pbam (No. 55)
One atom of each set of equivalent atoms:
1 Tb 0.2458 0.1235 0.0000 x4
2 Ce 0.0000 0.0000 0.5000 x2
3 Y 0.0003 0.2494 0.5000 x4
4 Y 0.0000 0.5000 0.5000 x2
5 Y 0.2457 0.8764 0.0000 x4

=====

# 2
Crystalline Tb3CeY3 at its relaxed geometry. Source: Alexandria, functional GGA-PBE.

Magnetic moment   1.340 μB per formula unit
Electronic total energy   -5.418 eV per atom

Unit cell a=6.1880 b=6.1880 c=42.7387 alpha=90.00 beta=90.00 gamma=120.00
Space group R-3 (No. 148, hexagonal axes)
One atom of each set of equivalent atoms:
1 Tb 0.0001 0.3322 0.1330 x18
2 Ce 0.0000 0.0000 0.3333 x6
3 Y 0.0001 0.3333 0.2671 x18

=====

# 3
Crystalline Tb12CeY7 at its relaxed geometry. Source: Alexandria, functional GGA-PBE.

Energy relative to the lowest polymorph listed for this composition   0.551 eV/atom
Magnetic moment   1.601 μB per formula unit
Electronic total energy   -4.606 eV per atom

Unit cell a=11.3480 b=11.3480 c=11.3480 alpha=90.00 beta=90.00 gamma=90.00
Space group Im-3 (No. 204)
One atom of each set of equivalent atoms:
1 Tb 0.0000 0.2569 0.2560 x24
2 Ce 0.0000 0.0000 0.0000 x2
3 Y 0.0000 0.0000 0.5000 x6
4 Y 0.2500 0.2500 0.2500 x8

=====

# 4
Crystalline Tb3CeY8 at its relaxed geometry. Source: Alexandria, functional GGA-PBE.

Magnetic moment   0.000 μB per formula unit
Electronic total energy   -5.325 eV per atom

Unit cell a=8.6658 b=8.6658 c=11.4197 alpha=90.00 beta=90.00 gamma=90.00
Space group I-42m (No. 121)
One atom of each set of equivalent atoms:
1 Tb 0.0000 0.0000 0.0000 x2
2 Tb 0.0000 0.5000 0.2500 x4
3 Ce 0.0000 0.0000 0.5000 x2
4 Y 0.1253 0.1253 0.7372 x8
5 Y 0.2327 0.2327 0.4713 x8

=====

| no. | formation enthalpy at 0 K (eV per atom) |
| --- | --- |
| 1 | 0.045 |
| 2 | 0.184 |
| 3 | 0.731 |
| 4 | 0.637 |